A plane-wave DFT calculation with PBE-GGA was carried out for a geometry-optimized SrTl2Cd structure.

Calculated values
ρ   7.84 g/cm3
Final energy   -0.0719 Ha/atom
Formation energy   -47.5 kJ/mol of formula units

CIF file:
```
data_SrTl2Cd
_cell_length_a 3.676
_cell_length_b 7.993
_cell_length_c 8.780
_cell_angle_alpha 90.00
_cell_angle_beta 90.00
_cell_angle_gamma 90.00
_space_group_name_H-M_alt 'A m m 2'
_space_group_IT_number 38
_space_group_name_Hall 'A 2 -2'
loop_
_atom_site_label
_atom_site_fract_x
_atom_site_fract_y
_atom_site_fract_z
Sr1 0.000 0.000 0.000
Tl1 0.500 0.193 0.693
Cd1 0.500 0.000 0.389
```

***

A plane-wave DFT calculation with PBE-GGA was carried out for a geometry-optimized GaCuSnSe4 structure.

Calculated values
ρ   5.18 g/cm3
Final energy   -0.1471 Ha/atom
ΔE_f (raw)   -0.422 eV per atom

CIF file:
```
data_GaCuSnSe4
_cell_length_a 5.661
_cell_length_b 5.661
_cell_length_c 11.351
_cell_angle_alpha 90.00
_cell_angle_beta 90.00
_cell_angle_gamma 90.00
_space_group_name_H-M_alt 'I -4'
_space_group_IT_number 82
_space_group_name_Hall 'I -4'
loop_
_atom_site_label
_atom_site_fract_x
_atom_site_fract_y
_atom_site_fract_z
Ga1 0.000 0.000 0.000
Cu1 0.000 0.000 0.500
Sn1 0.000 0.500 0.250
Se1 0.226 0.271 0.624
```

***

A plane-wave DFT calculation with PBE-GGA was carried out for a geometry-optimized Tb6Nd12Tl structure.

Calculated values
ρ   7.38 g/cm3
Final energy   -0.1662 Ha/atom
Formation energy   137.9 kJ/mol of formula units

CIF file:
```
data_Tb6Nd12Tl
_cell_length_a 12.0988
_cell_length_b 12.0988
_cell_length_c 15.3724
_cell_angle_alpha 90.00
_cell_angle_beta 90.00
_cell_angle_gamma 120.00
_space_group_name_H-M_alt 'R -3'
_space_group_IT_number 148
_space_group_name_Hall '-R 3'
loop_
_atom_site_label
_atom_site_fract_x
_atom_site_fract_y
_atom_site_fract_z
Tb1 0.0230 0.5898 0.1893
Nd1 0.0060 0.8292 0.3129
Nd2 0.0469 0.2002 0.9157
Tl1 0.0000 0.0000 0.5000
```

***

A plane-wave DFT calculation with PBE-GGA was carried out for a geometry-optimized CoAsBr2 structure.

Calculated values
ρ   4.59 g/cm3
Final energy   -0.1357 Ha/atom
ΔE_f (raw)   0.082 eV per atom
Relative energy among the computed polymorphs   63 kJ/mol of formula units

CIF file:
```
data_CoAsBr2
_cell_length_a 15.814
_cell_length_b 3.318
_cell_length_c 4.096
_cell_angle_alpha 90.00
_cell_angle_beta 98.19
_cell_angle_gamma 90.00
_space_group_name_H-M_alt 'C 1 2/m 1'
_space_group_IT_number 12
_space_group_name_Hall '-C 2y'
loop_
_atom_site_label
_atom_site_fract_x
_atom_site_fract_y
_atom_site_fract_z
Co1 0.000 0.000 0.000
As1 0.000 0.500 0.500
Br1 0.132 0.500 0.177
```